No. 1
# KInIN2

Crystalline KInIN2 at its relaxed geometry (GGA-PBEsol, Alexandria via LeMat-Bulk).

Cell: 4.4610 4.4610 6.1310 Å, 90.00 90.00 90.00°
Sites, in units of the cell vectors:
K  0.5000  0.5000  0.5000
I  0.0000  0.0000  0.5000
In  0.0000  0.0000  0.0000
N  0.5000  0.0000  0.0000
N  0.0000  0.5000  0.0000

Calculated values
Formation energy (no corrections) in meV per atom: 800
M_tot in Bohr magnetons per cell: 3.0
ΔE to the lowest computed polymorph in kJ/mol of formula units: 0

***

No. 2
# KInIN2

Crystalline KInIN2 at its relaxed geometry (GGA-PBEsol, Alexandria via LeMat-Bulk).

Cell: 5.1124 5.1124 6.6675 Å, 90.00 90.00 90.00°
Sites, in units of the cell vectors:
N  0.0000  0.5000  0.0000
In  0.5000  0.5000  0.5000
I  0.0000  0.0000  0.5000
K  0.0000  0.0000  0.0000
N  0.5000  0.0000  0.0000

Calculated values
Formation energy (no corrections) in meV per atom: 1586
M_tot in Bohr magnetons per cell: 5.0
ΔE to the lowest computed polymorph in kJ/mol of formula units: 379

***

No. 3
# K2NaInI6

Crystalline K2NaInI6 at its relaxed geometry (GGA-PBEsol, Alexandria via LeMat-Bulk).

Cell: 8.3854 8.3854 8.3854 Å, 60.00 60.00 60.00°
Sites, in units of the cell vectors:
K  0.7500  0.7500  0.7500
I  0.7569  0.2431  0.2431
I  0.7569  0.2431  0.7569
Na  0.5000  0.5000  0.5000
In  0.0000  0.0000  0.0000
I  0.7569  0.7569  0.2431
I  0.2431  0.2431  0.7569
I  0.2431  0.7569  0.7569
K  0.2500  0.2500  0.2500
I  0.2431  0.7569  0.2431

Calculated values
Formation energy (no corrections) in meV per atom: -942
M_tot in Bohr magnetons per cell: 0.0

***

No. 4
# KInI2O

Crystalline KInI2O at its relaxed geometry (GGA-PBEsol, Alexandria via LeMat-Bulk).

Cell: 4.7718 6.3624 6.3624 Å, 90.00 90.00 90.00°
Sites, in units of the cell vectors:
K  0.0000  0.0000  0.0000
I  0.0000  0.5000  0.0000
I  0.0000  0.0000  0.5000
O  0.5000  0.0000  0.0000
In  0.5000  0.5000  0.5000

Calculated values
Formation energy (no corrections) in meV per atom: 16
M_tot in Bohr magnetons per cell: 2.1

***

Total DFT energy (no corrections) in Ha/atom, matching the order above: -0.13917, -0.11028, -0.09801, -0.09421